A relaxed La2MgSc crystal, computed with PBE-GGA.

Results
theoretical density	4690	kg/m3
size of the total moment	0.00	μB per cell
energy	-17.5	eV for the cell shown

a b c (Å): 11.751 11.751 11.751
angles (deg): 17.13 17.13 17.13
Sites, in units of the cell vectors:
La  0.000  0.000  0.000
La  0.172  0.172  0.172
Mg  0.419  0.419  0.419
Sc  0.586  0.586  0.586